A relaxed GdYSbF2 crystal, computed with PBE.

crystal system = trigonal
total DFT energy (no corrections) = -6.260 eV/atom

a b c (Å): 4.073 4.073 6.991
angles (deg): 90.00 90.00 120.00
Fractional coordinates of all 5 atoms:
F1 0.333 0.667 0.599
Gd1 0.000 0.000 0.732
F2 0.000 0.000 0.399
Y1 0.333 0.667 0.267
Sb1 0.667 0.333 0.003